(1)
! YNb3O PBE relaxed; values from VASP
&SYSTEM
  ibrav = 0, nat = 5, ntyp = 3
/
ATOMIC_SPECIES
O 16.00 O.upf
Y 88.91 Y.upf
Nb 92.91 Nb.upf
ATOMIC_POSITIONS crystal
O 0.0000 0.0000 0.0000
Y 0.5000 0.5000 0.5000
Nb 0.0000 0.5000 0.0000
Nb 0.5000 0.0000 0.0000
Nb 0.0000 0.0000 0.5000
CELL_PARAMETERS angstrom
4.4367 0.0000 0.0000
0.0000 4.4367 0.0000
0.0000 0.0000 4.4367
! - Uncorrected formation energy: -540 meV/atom
! - ρ: 7.294 g/cm³
! - Excess energy over the best structure of this formula in the dataset: 0.0000 eV per atom
! - N(E_F): 4.0 states/eV/cell

=====

(2)
! Y2NbO PBE relaxed; values from VASP
&SYSTEM
  ibrav = 0, nat = 8, ntyp = 3
/
ATOMIC_SPECIES
O 16.00 O.upf
Y 88.91 Y.upf
Nb 92.91 Nb.upf
ATOMIC_POSITIONS crystal
O 0.2500 0.7500 0.5000
Y 0.5139 0.1250 0.2500
O 0.5000 0.5000 0.0000
Y 0.3750 0.4861 0.7500
Y 0.2361 0.6250 0.2500
Nb 0.0000 0.0000 0.0000
Y 0.8750 0.7639 0.7500
Nb 0.7500 0.2500 0.5000
CELL_PARAMETERS angstrom
6.7303 0.0000 0.0000
0.0000 6.7303 0.0000
3.3651 3.3651 4.1722
! - Uncorrected formation energy: -801 meV/atom
! - ρ: 5.038 g/cm³
! - N(E_F): 9.5 states/eV/cell

=====

(3)
! YNb3O PBE relaxed; values from VASP
&SYSTEM
  ibrav = 0, nat = 5, ntyp = 3
/
ATOMIC_SPECIES
Nb 92.91 Nb.upf
O 16.00 O.upf
Y 88.91 Y.upf
ATOMIC_POSITIONS crystal
Nb 0.0000 0.0000 0.5000
O 0.5000 0.5000 0.5000
Y 0.0000 0.0000 0.0000
Nb 0.0000 0.5000 0.0000
Nb 0.5000 0.0000 0.0000
CELL_PARAMETERS angstrom
-1.7376 1.6507 4.3359
-2.6330 -4.1631 0.5297
3.8200 -2.1187 2.3374
! - Uncorrected formation energy: 2580 meV/atom
! - ρ: 5.239 g/cm³
! - Excess energy over the best structure of this formula in the dataset: 3.1201 eV per atom
! - N(E_F): 6.4 states/eV/cell

=====

(4)
! YNb2O PBE relaxed; values from VASP
&SYSTEM
  ibrav = 0, nat = 8, ntyp = 3
/
ATOMIC_SPECIES
O 16.00 O.upf
Nb 92.91 Nb.upf
Y 88.91 Y.upf
ATOMIC_POSITIONS crystal
O 0.2500 0.7500 0.5000
Nb 0.3079 0.6250 0.2500
O 0.5000 0.5000 0.0000
Nb 0.8750 0.6921 0.7500
Y 0.7500 0.2500 0.5000
Y 0.0000 0.0000 0.0000
Nb 0.4421 0.1250 0.2500
Nb 0.3750 0.5579 0.7500
CELL_PARAMETERS angstrom
-2.7283 -1.5258 -5.6369
-4.9611 -2.6764 3.1257
-5.8696 1.6204 -1.2829
! - Uncorrected formation energy: -480 meV/atom
! - ρ: 5.485 g/cm³
! - N(E_F): 12.6 states/eV/cell

=====

(5)
! Y3NbO PBE relaxed; values from VASP
&SYSTEM
  ibrav = 0, nat = 5, ntyp = 3
/
ATOMIC_SPECIES
Y 88.91 Y.upf
Nb 92.91 Nb.upf
O 16.00 O.upf
ATOMIC_POSITIONS crystal
Y 0.5000 0.0000 0.0000
Y 0.0000 0.0000 0.5000
Nb 0.5000 0.5000 0.5000
Y 0.0000 0.5000 0.0000
O 0.0000 0.0000 0.0000
CELL_PARAMETERS angstrom
4.7727 0.0000 0.0000
0.0000 4.7727 0.0000
0.0000 0.0000 4.7727
! - Uncorrected formation energy: -976 meV/atom
! - ρ: 5.737 g/cm³
! - Excess energy over the best structure of this formula in the dataset: 0.0000 eV per atom
! - N(E_F): 5.6 states/eV/cell

=====

(6)
! NbZn2O PBE relaxed; values from VASP
&SYSTEM
  ibrav = 0, nat = 8, ntyp = 3
/
ATOMIC_SPECIES
Zn 65.41 Zn.upf
Nb 92.91 Nb.upf
O 16.00 O.upf
ATOMIC_POSITIONS crystal
Zn 0.1944 0.6250 0.2500
Nb 0.7500 0.2500 0.5000
Nb 0.0000 0.0000 0.0000
Zn 0.3750 0.4444 0.7500
Zn 0.5556 0.1250 0.2500
O 0.5000 0.5000 0.0000
O 0.2500 0.7500 0.5000
Zn 0.8750 0.8056 0.7500
CELL_PARAMETERS angstrom
-6.4625 -3.4283 0.3388
1.1924 -2.9016 -6.6174
-1.6880 -4.8599 -2.2254
! - Uncorrected formation energy: -312 meV/atom
! - ρ: 6.917 g/cm³
! - N(E_F): 5.7 states/eV/cell

=====

(7)
! NbZn3O PBE relaxed; values from VASP
&SYSTEM
  ibrav = 0, nat = 5, ntyp = 3
/
ATOMIC_SPECIES
O 16.00 O.upf
Zn 65.41 Zn.upf
Nb 92.91 Nb.upf
ATOMIC_POSITIONS crystal
O 0.0000 0.0000 0.0000
Zn 0.5000 0.0000 0.0000
Nb 0.5000 0.5000 0.5000
Zn 0.0000 0.5000 0.0000
Zn 0.0000 0.0000 0.5000
CELL_PARAMETERS angstrom
-2.1433 2.9371 -2.1602
-2.9734 -2.8582 -0.9360
-2.1099 1.0444 3.5134
! - Uncorrected formation energy: 155 meV/atom
! - ρ: 6.698 g/cm³
! - N(E_F): 2.3 states/eV/cell

=====

(8)
! NbZnO2 PBE relaxed; values from VASP
&SYSTEM
  ibrav = 0, nat = 4, ntyp = 3
/
ATOMIC_SPECIES
Zn 65.41 Zn.upf
O 16.00 O.upf
Nb 92.91 Nb.upf
ATOMIC_POSITIONS crystal
Zn 0.0000 0.0000 0.0000
O 0.1036 0.1036 0.1036
O 0.8964 0.8964 0.8964
Nb 0.5000 0.5000 0.5000
CELL_PARAMETERS angstrom
1.6866 0.0000 6.8777
-0.8433 1.4607 6.8777
-0.8433 -1.4607 6.8777
! - Uncorrected formation energy: -1556 meV/atom
! - ρ: 6.217 g/cm³
! - N(E_F): 2.0 states/eV/cell

=====

(9)
! NbZnO3 PBE relaxed; values from VASP
&SYSTEM
  ibrav = 0, nat = 5, ntyp = 3
/
ATOMIC_SPECIES
O 16.00 O.upf
Zn 65.41 Zn.upf
Nb 92.91 Nb.upf
ATOMIC_POSITIONS crystal
O 0.0000 0.5000 0.0000
Zn 0.5000 0.5000 0.5000
Nb 0.0000 0.0000 0.0000
O 0.0000 0.0000 0.5000
O 0.5000 0.0000 0.0000
CELL_PARAMETERS angstrom
3.9844 0.0000 0.0000
0.0000 3.9844 0.0000
0.0000 0.0000 3.9844
! - Uncorrected formation energy: -1676 meV/atom
! - ρ: 5.416 g/cm³
! - N(E_F): 2.4 states/eV/cell

=====

(10)
! NbZn6O6 PBE relaxed; values from VASP
&SYSTEM
  ibrav = 0, nat = 13, ntyp = 3
/
ATOMIC_SPECIES
Zn 65.41 Zn.upf
O 16.00 O.upf
Nb 92.91 Nb.upf
ATOMIC_POSITIONS crystal
Zn 0.5000 0.0000 0.7489
Zn 0.5000 0.0000 0.2511
Zn 0.2511 0.5000 0.0000
O 0.5000 0.7497 0.0000
Zn 0.0000 0.2511 0.5000
O 0.5000 0.2503 0.0000
Zn 0.7489 0.5000 0.0000
Zn 0.0000 0.7489 0.5000
O 0.2503 0.0000 0.5000
O 0.7497 0.0000 0.5000
O 0.0000 0.5000 0.7497
Nb 0.0000 0.0000 0.0000
O 0.0000 0.5000 0.2503
CELL_PARAMETERS angstrom
5.7447 0.0000 0.0000
0.0000 5.7447 0.0000
0.0000 0.0000 5.7447
! - Uncorrected formation energy: -836 meV/atom
! - ρ: 5.092 g/cm³
! - N(E_F): 5.1 states/eV/cell

=====

(11)
! NbZnO2 PBE relaxed; values from VASP
&SYSTEM
  ibrav = 0, nat = 8, ntyp = 3
/
ATOMIC_SPECIES
O 16.00 O.upf
Zn 65.41 Zn.upf
Nb 92.91 Nb.upf
ATOMIC_POSITIONS crystal
O 0.1423 0.6250 0.2500
Zn 0.2500 0.7500 0.5000
Nb 0.7500 0.2500 0.5000
Zn 0.5000 0.5000 0.0000
O 0.8750 0.8577 0.7500
O 0.3750 0.3923 0.7500
O 0.6077 0.1250 0.2500
Nb 0.0000 0.0000 0.0000
CELL_PARAMETERS angstrom
-0.6441 -3.1396 3.8248
-1.6726 -3.4919 -3.1480
2.9031 -4.7881 -0.1863
! - Uncorrected formation energy: -1064 meV/atom
! - ρ: 5.833 g/cm³
! - N(E_F): 6.0 states/eV/cell

=====

(12)
! Nb2Zn2O7 PBE relaxed; values from VASP
&SYSTEM
  ibrav = 0, nat = 22, ntyp = 3
/
ATOMIC_SPECIES
O 16.00 O.upf
Nb 92.91 Nb.upf
Zn 65.41 Zn.upf
ATOMIC_POSITIONS crystal
O 0.9385 0.0615 0.2500
Nb 0.7933 0.7913 0.7882
O 0.3392 0.9525 0.1297
O 0.3841 0.4497 0.8673
O 0.3856 0.0912 0.5924
Zn 0.7337 0.3919 0.9784
O 0.5503 0.6159 0.6327
O 0.0912 0.3856 0.0924
O 0.9088 0.6144 0.9076
O 0.9525 0.3392 0.6297
Zn 0.2663 0.6081 0.0216
Nb 0.2067 0.2087 0.2118
Zn 0.3919 0.7337 0.4784
Nb 0.2087 0.2067 0.7118
Nb 0.7913 0.7933 0.2882
O 0.0475 0.6608 0.3703
O 0.4497 0.3841 0.3673
O 0.6144 0.9088 0.4076
O 0.6608 0.0475 0.8703
O 0.0615 0.9385 0.7500
O 0.6159 0.5503 0.1327
Zn 0.6081 0.2663 0.5216
CELL_PARAMETERS angstrom
-2.1355 0.2858 5.3557
-4.9334 -2.0999 -2.1394
7.1236 -8.4681 0.0362
! - Uncorrected formation energy: -2110 meV/atom
! - ρ: 4.207 g/cm³
! - N(E_F): 0.0 states/eV/cell

=====

(13)
! NbZnO3 PBE relaxed; values from VASP
&SYSTEM
  ibrav = 0, nat = 5, ntyp = 3
/
ATOMIC_SPECIES
O 16.00 O.upf
Zn 65.41 Zn.upf
Nb 92.91 Nb.upf
ATOMIC_POSITIONS crystal
O 0.5000 0.0000 0.0000
Zn 0.0000 0.0000 0.0000
Nb 0.5000 0.5000 0.5000
O 0.0000 0.5000 0.0000
O 0.0000 0.0000 0.5000
CELL_PARAMETERS angstrom
3.7677 0.0000 0.0000
0.0000 3.7677 0.0000
0.0000 0.0000 3.7677
! - Uncorrected formation energy: -605 meV/atom
! - ρ: 6.406 g/cm³
! - N(E_F): 3.5 states/eV/cell

=====

(14)
! Nb2ZnO6 PBE relaxed; values from VASP
&SYSTEM
  ibrav = 0, nat = 27, ntyp = 3
/
ATOMIC_SPECIES
O 16.00 O.upf
Nb 92.91 Nb.upf
Zn 65.41 Zn.upf
ATOMIC_POSITIONS crystal
O 0.2608 0.1012 0.5584
Nb 0.5000 0.0000 0.7040
Nb 0.0000 0.3693 0.0000
O 0.2608 0.4416 0.5428
O 0.7392 0.5428 0.4416
O 0.2386 0.1102 0.2292
O 0.7447 0.2195 0.7901
O 0.2553 0.4293 0.2099
O 0.2608 0.4572 0.8988
O 0.7392 0.8988 0.4572
Nb 0.0000 0.0000 0.3693
O 0.7614 0.8810 0.7708
Nb 0.5000 0.7040 0.0000
O 0.2386 0.1190 0.8898
Zn 0.5181 0.3333 0.6667
O 0.7392 0.5584 0.1012
O 0.7447 0.5707 0.7805
O 0.2553 0.7901 0.2195
O 0.7447 0.2099 0.4293
Nb 0.5000 0.2960 0.2960
O 0.2553 0.7805 0.5707
Zn 0.4819 0.6667 0.3333
O 0.7614 0.8898 0.1190
Zn 0.0000 0.0000 0.0000
O 0.7614 0.2292 0.1102
O 0.2386 0.7708 0.8810
Nb 0.0000 0.6307 0.6307
CELL_PARAMETERS angstrom
4.6472 0.0000 0.0000
0.0000 7.6688 -4.4276
0.0000 0.0000 8.8552
! - Uncorrected formation energy: -2270 meV/atom
! - ρ: 5.481 g/cm³
! - N(E_F): 0.0 states/eV/cell

=====

(15)
! Nb2ZnO6 PBE relaxed; values from VASP
&SYSTEM
  ibrav = 0, nat = 36, ntyp = 3
/
ATOMIC_SPECIES
O 16.00 O.upf
Nb 92.91 Nb.upf
Zn 65.41 Zn.upf
ATOMIC_POSITIONS crystal
O 0.9136 0.3817 0.0790
Nb 0.7534 0.1831 0.1601
O 0.4287 0.6051 0.4037
O 0.5820 0.8752 0.2448
O 0.4287 0.1051 0.0963
O 0.9136 0.8817 0.4210
Nb 0.2466 0.8169 0.8399
O 0.9180 0.8752 0.7552
O 0.5864 0.8817 0.5790
Zn 0.7500 0.6713 0.0000
O 0.5713 0.8949 0.9037
Nb 0.2534 0.3169 0.3399
O 0.0864 0.6183 0.9210
O 0.5713 0.3949 0.5963
O 0.9287 0.3949 0.4037
O 0.0820 0.1248 0.2448
Nb 0.2466 0.3169 0.6601
O 0.0713 0.1051 0.9037
Nb 0.2534 0.8169 0.1601
O 0.4136 0.1183 0.4210
Nb 0.7466 0.6831 0.6601
Zn 0.2500 0.3287 0.0000
O 0.5820 0.3752 0.2552
O 0.4180 0.1248 0.7552
Zn 0.2500 0.8287 0.5000
Zn 0.7500 0.1713 0.5000
O 0.0713 0.6051 0.5963
Nb 0.7534 0.6831 0.3399
O 0.5864 0.3817 0.9210
O 0.9287 0.8949 0.0963
O 0.0864 0.1183 0.5790
Nb 0.7466 0.1831 0.8399
O 0.4136 0.6183 0.0790
O 0.0820 0.6248 0.2552
O 0.4180 0.6248 0.7448
O 0.9180 0.3752 0.7448
CELL_PARAMETERS angstrom
5.0867 0.0000 0.0000
0.0000 5.8485 0.0000
0.0000 0.0000 14.4111
! - Uncorrected formation energy: -2305 meV/atom
! - ρ: 5.379 g/cm³
! - N(E_F): 0.0 states/eV/cell

=====

(16)
! ZrNb2ZnO8 PBE relaxed; values from VASP
&SYSTEM
  ibrav = 0, nat = 12, ntyp = 4
/
ATOMIC_SPECIES
O 16.00 O.upf
Nb 92.91 Nb.upf
Zn 65.41 Zn.upf
Zr 91.22 Zr.upf
ATOMIC_POSITIONS crystal
O 0.1099 0.7765 0.6818
Nb 0.8091 0.0000 0.5000
Zn 0.7003 0.5000 0.0000
O 0.8943 0.7863 0.1870
O 0.1099 0.2235 0.3182
Nb 0.1741 0.0000 0.0000
Zr 0.3227 0.5000 0.5000
O 0.6148 0.2675 0.3421
O 0.6148 0.7325 0.6579
O 0.3779 0.2584 0.8377
O 0.8943 0.2137 0.8130
O 0.3779 0.7416 0.1623
CELL_PARAMETERS angstrom
-0.2285 -5.8398 -0.0103
3.4827 -0.1303 -3.4190
3.6531 -0.1493 3.5968
! - Uncorrected formation energy: -2549 meV/atom
! - ρ: 5.339 g/cm³
! - N(E_F): 0.0 states/eV/cell

=====

(17)
! ZrNbO3 PBE relaxed; values from VASP
&SYSTEM
  ibrav = 0, nat = 5, ntyp = 3
/
ATOMIC_SPECIES
Nb 92.91 Nb.upf
O 16.00 O.upf
Zr 91.22 Zr.upf
ATOMIC_POSITIONS crystal
Nb 0.5000 0.5000 0.5000
O 0.0000 0.5000 0.0000
O 0.5000 0.0000 0.0000
Zr 0.0000 0.0000 0.0000
O 0.0000 0.0000 0.5000
CELL_PARAMETERS angstrom
-1.7018 -3.6876 -0.6071
3.3316 -1.1948 -2.0823
1.6933 -1.3555 3.4869
! - Uncorrected formation energy: -1673 meV/atom
! - ρ: 5.566 g/cm³
! - N(E_F): 3.4 states/eV/cell

=====

(18)
! ZrNbO2 PBE relaxed; values from VASP
&SYSTEM
  ibrav = 0, nat = 4, ntyp = 3
/
ATOMIC_SPECIES
O 16.00 O.upf
Nb 92.91 Nb.upf
Zr 91.22 Zr.upf
ATOMIC_POSITIONS crystal
O 0.7500 0.7500 0.7500
Nb 0.5000 0.5000 0.5000
Zr 0.0000 0.0000 0.0000
O 0.2500 0.2500 0.2500
CELL_PARAMETERS angstrom
0.0000 2.8555 2.8555
2.8555 0.0000 2.8555
2.8555 2.8555 0.0000
! - Uncorrected formation energy: -1367 meV/atom
! - ρ: 7.707 g/cm³
! - Excess energy over the best structure of this formula in the dataset: 0.6210 eV per atom
! - N(E_F): 2.6 states/eV/cell

=====

(19)
! ZrNbO5 PBE relaxed; values from VASP
&SYSTEM
  ibrav = 0, nat = 7, ntyp = 3
/
ATOMIC_SPECIES
Zr 91.22 Zr.upf
O 16.00 O.upf
Nb 92.91 Nb.upf
ATOMIC_POSITIONS crystal
Zr 0.0000 0.0000 0.0000
O 0.0000 0.6770 0.3230
O 0.2661 0.7339 0.7339
O 0.7339 0.2661 0.2661
O 0.5000 0.0000 0.0000
O 0.0000 0.3230 0.6770
Nb 0.5000 0.5000 0.5000
CELL_PARAMETERS angstrom
-2.4517 -2.9012 0.5120
-0.3111 -1.3118 5.4247
-4.9192 1.9440 1.8074
! - Uncorrected formation energy: -2172 meV/atom
! - ρ: 4.224 g/cm³
! - N(E_F): 4.3 states/eV/cell

=====

(20)
! ZrNb2O PBE relaxed; values from VASP
&SYSTEM
  ibrav = 0, nat = 8, ntyp = 3
/
ATOMIC_SPECIES
Zr 91.22 Zr.upf
Nb 92.91 Nb.upf
O 16.00 O.upf
ATOMIC_POSITIONS crystal
Zr 0.7500 0.2500 0.5000
Nb 0.3750 0.5032 0.7500
O 0.5000 0.5000 0.0000
Nb 0.8750 0.7468 0.7500
Nb 0.4968 0.1250 0.2500
Nb 0.2532 0.6250 0.2500
O 0.2500 0.7500 0.5000
Zr 0.0000 0.0000 0.0000
CELL_PARAMETERS angstrom
-1.0184 -6.1160 -1.1117
6.2134 -1.0355 0.0050
2.4825 -4.2473 3.2465
! - Uncorrected formation energy: -394 meV/atom
! - ρ: 6.353 g/cm³
! - N(E_F): 9.9 states/eV/cell